Record 1
# BaSbH2Pd

BaSbH2Pd after structural relaxation (PBE, Alexandria via LeMat-Bulk).

## Properties
SG: No. 123
DOS(E_F), states/eV/f.u.: 3.85
Polymorph energy (0 for the lowest one), eV per atom: 0.9454

a b c (Å): 4.2642 7.1342 4.2642
angles (deg): 90.00 90.00 90.00
With the nearest neighbours (Å) after each atom.
Positions (direct):
H 0.0000 0.0000 0.5000  2 Ba 2.13
H 0.5000 0.0000 0.0000  2 Ba 2.13
Pd 0.5000 0.5000 0.5000  4 Sb 3.02
Sb 0.0000 0.5000 0.0000  4 Pd 3.02
Ba 0.0000 0.0000 0.0000  4 H 2.13


Record 2
# Ba2SbHPd

Ba2SbHPd after structural relaxation (PBE, Alexandria via LeMat-Bulk).

## Properties
SG: No. 123
Energy, eV/atom: -3.968
DOS(E_F), states/eV/f.u.: 2.01

a b c (Å): 5.9766 5.9766 3.8572
angles (deg): 90.00 90.00 90.00
With the nearest neighbours (Å) after each atom.
Positions (direct):
Ba 0.5000 0.0000 0.0000  2 H 2.99
Ba 0.0000 0.5000 0.0000  2 H 2.99
Pd 0.0000 0.0000 0.5000  2 H 1.93
H 0.0000 0.0000 0.0000  2 Pd 1.93
Sb 0.5000 0.5000 0.5000  8 Ba 3.56, 2 Sb 3.86


Record 3
# Ba2Sb2H4Pd

Ba2Sb2H4Pd after structural relaxation (PBE, Alexandria via LeMat-Bulk).

## Properties
SG: No. 139
Energy, eV/atom: -3.713
DOS(E_F), states/eV/f.u.: 5.47

a b c (Å): 6.3992 6.3992 6.3992
angles (deg): 96.03 116.58 116.58
With the nearest neighbours (Å) after each atom.
Positions (direct):
H 0.0000 0.1761 0.8239  1 Pd 1.68
H 0.3522 0.1761 0.1761  1 Pd 1.68
H 0.6478 0.8239 0.8239  1 Pd 1.68
H 0.0000 0.8239 0.1761  1 Pd 1.68
Pd 0.0000 0.0000 0.0000  4 H 1.68
Sb 0.0000 0.3346 0.3346  1 Sb 2.83, 1 Pd 2.86
Sb 0.0000 0.6654 0.6654  1 Sb 2.83, 1 Pd 2.86
Ba 0.5000 0.2500 0.7500  8 H 3.28, 4 Sb 3.44
Ba 0.5000 0.7500 0.2500  8 H 3.28, 4 Sb 3.44


Record 4
# Ba2Sb2HPd2

Ba2Sb2HPd2 after structural relaxation (PBE, Alexandria via LeMat-Bulk).

## Properties
SG: No. 12
Energy, eV/atom: -4.436
DOS(E_F), states/eV/f.u.: 3.05

a b c (Å): 4.7716 6.6531 6.4039
angles (deg): 77.63 68.13 68.99
With the nearest neighbours (Å) after each atom.
Positions (direct):
Pd 0.8104 0.2637 0.1155  1 H 1.83
Pd 0.1896 0.7363 0.8845  1 H 1.83
Ba 0.4441 0.8228 0.2891  2 H 3.08
Ba 0.5559 0.1772 0.7109  2 H 3.08
H 0.0000 0.0000 0.0000  2 Pd 1.83
Sb 0.8370 0.5882 0.7377  3 Pd 2.73-2.87
Sb 0.1630 0.4118 0.2623  3 Pd 2.73-2.87


Record 5
# BaSbH2Pd

BaSbH2Pd after structural relaxation (PBE, Alexandria via LeMat-Bulk).

## Properties
SG: No. 63
DOS(E_F), states/eV/f.u.: 1.34
Polymorph energy (0 for the lowest one), eV per atom: 0.0000

a b c (Å): 4.3110 6.5320 6.8781
angles (deg): 90.00 90.00 109.27
With the nearest neighbours (Å) after each atom.
Positions (direct):
Pd 0.0000 0.0000 0.0000  2 H 1.71
Pd 0.0000 0.0000 0.5000  2 H 1.71
H 0.1368 0.2735 0.9591  1 Pd 1.71
H 0.1368 0.2735 0.5409  1 Pd 1.71
H 0.8632 0.7265 0.4591  1 Pd 1.71
H 0.8632 0.7265 0.0409  1 Pd 1.71
Sb 0.5628 0.1256 0.2500  4 Pd 2.86, 4 H 3.08
Sb 0.4372 0.8744 0.7500  4 Pd 2.86, 4 H 3.08
Ba 0.7082 0.4164 0.7500  6 H 2.74-2.77
Ba 0.2918 0.5836 0.2500  6 H 2.74-2.77


Record 6
# BaSiHPd2

BaSiHPd2 after structural relaxation (PBE, Alexandria via LeMat-Bulk).

## Properties
SG: No. 63
Energy, eV/atom: -4.828
DOS(E_F), states/eV/f.u.: 2.04

a b c (Å): 3.9522 6.3048 7.4192
angles (deg): 90.00 90.00 108.27
With the nearest neighbours (Å) after each atom.
Positions (direct):
Pd 0.1724 0.3448 0.9407  1 H 2.11
Pd 0.8276 0.6552 0.4407  1 H 2.11
Pd 0.8276 0.6552 0.0593  1 H 2.11
Pd 0.1724 0.3448 0.5593  1 H 2.11
H 0.0000 0.0000 0.5000  2 Pd 2.11
H 0.0000 0.0000 0.0000  2 Pd 2.11
Si 0.2748 0.5496 0.2500  6 Pd 2.51-2.60
Si 0.7252 0.4504 0.7500  6 Pd 2.51-2.60
Ba 0.4511 0.9022 0.7500  4 H 2.77
Ba 0.5489 0.0978 0.2500  4 H 2.77


Record 7
# BaSmH6Pd2

BaSmH6Pd2 after structural relaxation (PBE, Alexandria via LeMat-Bulk).

## Properties
SG: No. 15
Energy, eV/atom: -4.189
DOS(E_F), states/eV/f.u.: 2.72

a b c (Å): 6.5920 6.5920 6.9343
angles (deg): 105.47 105.47 101.49
With the nearest neighbours (Å) after each atom.
Positions (direct):
H 0.4300 0.9031 0.6408  1 Pd 1.71
H 0.7693 0.8594 0.9830  1 Pd 1.68
H 0.6857 0.4916 0.6200  1 Pd 1.81
H 0.1406 0.2307 0.5170  1 Pd 1.68
H 0.8594 0.7693 0.4830  1 Pd 1.68
H 0.2307 0.1406 0.0170  1 Pd 1.68
H 0.5700 0.0969 0.3592  1 Pd 1.71
H 0.4916 0.6857 0.1200  1 Pd 1.81
H 0.3143 0.5084 0.3800  1 Pd 1.81
H 0.5084 0.3143 0.8800  1 Pd 1.81
H 0.9031 0.4300 0.1408  1 Pd 1.71
H 0.0969 0.5700 0.8592  1 Pd 1.71
Pd 0.6670 0.9574 0.1749  3 H 1.68-1.81
Pd 0.0426 0.3330 0.3251  3 H 1.68-1.81
Pd 0.3330 0.0426 0.8251  3 H 1.68-1.81
Pd 0.9574 0.6670 0.6749  3 H 1.68-1.81
Sm 0.4114 0.5886 0.7500  8 H 2.35-2.47
Sm 0.5886 0.4114 0.2500  8 H 2.35-2.47
Ba 0.1567 0.8433 0.2500  10 H 2.68-2.90
Ba 0.8433 0.1567 0.7500  10 H 2.68-2.90


Record 8
# Ba2SmH12Pd3

Ba2SmH12Pd3 after structural relaxation (PBE, Alexandria via LeMat-Bulk).

## Properties
SG: No. 166
Energy, eV/atom: -3.932
DOS(E_F), states/eV/f.u.: 3.37

a b c (Å): 6.4656 6.4656 6.4656
angles (deg): 64.88 64.88 64.88
With the nearest neighbours (Å) after each atom.
Positions (direct):
H 0.7250 0.0975 0.7250  2 Pd 1.82
H 0.5933 0.1232 0.1232  1 Pd 1.73
H 0.4067 0.8768 0.8768  1 Pd 1.73
H 0.9025 0.2750 0.2750  2 Pd 1.82
H 0.2750 0.2750 0.9025  2 Pd 1.82
H 0.1232 0.1232 0.5933  1 Pd 1.73
H 0.8768 0.4067 0.8768  1 Pd 1.73
H 0.1232 0.5933 0.1232  1 Pd 1.73
H 0.8768 0.8768 0.4067  1 Pd 1.73
H 0.0975 0.7250 0.7250  2 Pd 1.82
H 0.2750 0.9025 0.2750  2 Pd 1.82
H 0.7250 0.7250 0.0975  2 Pd 1.82
Pd 0.0000 0.5000 0.0000  6 H 1.73-1.82
Pd 0.5000 0.0000 0.0000  6 H 1.73-1.82
Pd 0.0000 0.0000 0.5000  6 H 1.73-1.82
Sm 0.0000 0.0000 0.0000  6 H 2.27
Ba 0.6119 0.6119 0.6119  3 H 2.50
Ba 0.3881 0.3881 0.3881  3 H 2.50


Record 9
# BaSnH8Pd2

BaSnH8Pd2 after structural relaxation (PBE, Alexandria via LeMat-Bulk).

## Properties
SG: No. 148
Energy, eV/atom: -3.557
DOS(E_F), states/eV/f.u.: 1.98

a b c (Å): 5.1640 5.1640 6.7885
angles (deg): 67.64 67.64 60.00
With the nearest neighbours (Å) after each atom.
Positions (direct):
Ba 0.5000 0.5000 0.5000  18 H 2.97-2.99
H 0.3842 0.9366 0.7400  1 Pd 1.69
H 0.9366 0.9393 0.7400  1 Pd 1.69
H 0.1778 0.1778 0.4667  1 Pd 1.62
H 0.0634 0.0607 0.2600  1 Pd 1.69
H 0.0607 0.6158 0.2600  1 Pd 1.69
H 0.9393 0.3842 0.7400  1 Pd 1.69
H 0.6158 0.0634 0.2600  1 Pd 1.69
H 0.8222 0.8222 0.5333  1 Pd 1.62
Sn 0.0000 0.0000 0.0000  6 H 2.07
Pd 0.7336 0.7336 0.7992  4 H 1.62-1.69
Pd 0.2664 0.2664 0.2008  4 H 1.62-1.69


Record 10
# Ba2SnH6Pd2

Ba2SnH6Pd2 after structural relaxation (PBE, Alexandria via LeMat-Bulk).

## Properties
SG: No. 12
Energy, eV/atom: -3.831
DOS(E_F), states/eV/f.u.: 1.09

a b c (Å): 4.7218 6.1011 7.6904
angles (deg): 115.93 90.00 112.77
With the nearest neighbours (Å) after each atom.
Positions (direct):
H 0.8147 0.6293 0.6299  1 Pd 1.83
H 0.1853 0.3707 0.3701  1 Pd 1.83
H 0.6736 0.8519 0.1521  1 Pd 1.66
H 0.3264 0.1481 0.8479  1 Pd 1.66
H 0.1783 0.8519 0.1521  1 Pd 1.66
H 0.8217 0.1481 0.8479  1 Pd 1.66
Pd 0.0080 0.0160 0.3158  3 H 1.66-1.83
Pd 0.9920 0.9840 0.6842  3 H 1.66-1.83
Sn 0.5000 0.0000 0.5000  4 H 2.67, 4 Pd 2.78
Ba 0.3115 0.6231 0.7826  5 H 2.64-2.79
Ba 0.6885 0.3769 0.2174  5 H 2.64-2.79


Record 11
# BaSr2HPd

BaSr2HPd after structural relaxation (PBE, Alexandria via LeMat-Bulk).

## Properties
SG: No. 123
Energy, eV/atom: -2.959
DOS(E_F), states/eV/f.u.: 2.60

a b c (Å): 5.2520 5.2520 5.4061
angles (deg): 90.00 90.00 90.00
With the nearest neighbours (Å) after each atom.
Positions (direct):
H 0.0000 0.0000 0.0000  4 Sr 2.63, 2 Ba 2.70
Sr 0.0000 0.5000 0.0000  2 H 2.63
Sr 0.5000 0.0000 0.0000  2 H 2.63
Pd 0.5000 0.5000 0.5000  4 Ba 3.71, 8 Sr 3.77
Ba 0.0000 0.0000 0.5000  2 H 2.70


Record 12
# Ba2SrH12Pd3

Ba2SrH12Pd3 after structural relaxation (PBE, Alexandria via LeMat-Bulk).

## Properties
SG: No. 166
Energy, eV/atom: -3.739
DOS(E_F), states/eV/f.u.: 4.20

a b c (Å): 6.5930 6.5930 6.5930
angles (deg): 63.05 63.05 63.05
With the nearest neighbours (Å) after each atom.
Positions (direct):
Ba 0.3912 0.3912 0.3912  3 H 2.55
Ba 0.6088 0.6088 0.6088  3 H 2.55
H 0.4306 0.8737 0.8737  1 Pd 1.71
H 0.7195 0.0982 0.7195  2 Pd 1.81
H 0.7195 0.7195 0.0982  2 Pd 1.81
H 0.2805 0.9018 0.2805  2 Pd 1.81
H 0.1263 0.5694 0.1263  1 Pd 1.71
H 0.8737 0.4306 0.8737  1 Pd 1.71
H 0.1263 0.1263 0.5694  1 Pd 1.71
H 0.5694 0.1263 0.1263  1 Pd 1.71
H 0.8737 0.8737 0.4306  1 Pd 1.71
H 0.9018 0.2805 0.2805  2 Pd 1.81
H 0.0982 0.7195 0.7195  2 Pd 1.81
H 0.2805 0.2805 0.9018  2 Pd 1.81
Pd 0.0000 0.5000 0.0000  6 H 1.71-1.81
Pd 0.0000 0.0000 0.5000  6 H 1.71-1.81
Pd 0.5000 0.0000 0.0000  6 H 1.71-1.81
Sr 0.0000 0.0000 0.0000  6 H 2.41


Record 13
# BaSrH8Pd2

BaSrH8Pd2 after structural relaxation (PBE, Alexandria via LeMat-Bulk).

## Properties
SG: No. 166
Energy, eV/atom: -3.524
DOS(E_F), states/eV/f.u.: 4.04

a b c (Å): 4.4405 4.4405 9.8981
angles (deg): 77.04 77.04 60.00
With the nearest neighbours (Å) after each atom.
Positions (direct):
Pd 0.7450 0.7450 0.7649  4 H 1.66-1.78
Pd 0.2550 0.2550 0.2351  4 H 1.66-1.78
H 0.1930 0.1930 0.4209  1 Pd 1.78
H 0.0796 0.5319 0.8565  1 Pd 1.66
H 0.4681 0.4681 0.1435  1 Pd 1.66
H 0.9204 0.4681 0.1435  1 Pd 1.66
H 0.8070 0.8070 0.5791  1 Pd 1.78
H 0.5319 0.5319 0.8565  1 Pd 1.66
H 0.4681 0.9204 0.1435  1 Pd 1.66
H 0.5319 0.0796 0.8565  1 Pd 1.66
Ba 0.5000 0.5000 0.5000  6 H 2.67
Sr 0.0000 0.0000 0.0000  12 H 2.61


Record 14
# BaSrH6Pd2

BaSrH6Pd2 after structural relaxation (PBE, Alexandria via LeMat-Bulk).

## Properties
SG: No. 15
Energy, eV/atom: -3.821

a b c (Å): 6.4699 6.4699 7.5179
angles (deg): 91.83 91.83 90.47
With the nearest neighbours (Å) after each atom.
Positions (direct):
Pd 0.1271 0.3847 0.3932  3 H 1.66-1.70
Pd 0.8729 0.6153 0.6068  3 H 1.66-1.70
Pd 0.3847 0.1271 0.8932  3 H 1.66-1.70
Pd 0.6153 0.8729 0.1068  3 H 1.66-1.70
H 0.4352 0.6828 0.0832  1 Pd 1.69
H 0.7806 0.0696 0.1107  1 Pd 1.66
H 0.2624 0.2471 0.7223  1 Pd 1.70
H 0.6828 0.4352 0.5832  1 Pd 1.69
H 0.3172 0.5648 0.4168  1 Pd 1.69
H 0.0696 0.7806 0.6107  1 Pd 1.66
H 0.2471 0.2624 0.2223  1 Pd 1.70
H 0.9304 0.2194 0.3893  1 Pd 1.66
H 0.2194 0.9304 0.8893  1 Pd 1.66
H 0.7529 0.7376 0.7777  1 Pd 1.70
H 0.7376 0.7529 0.2777  1 Pd 1.70
H 0.5648 0.3172 0.9168  1 Pd 1.69
Sr 0.6127 0.3873 0.2500  8 H 2.49-2.58
Sr 0.3873 0.6127 0.7500  8 H 2.49-2.58
Ba 0.1269 0.8731 0.2500  8 H 2.65-2.83
Ba 0.8731 0.1269 0.7500  8 H 2.65-2.83


Record 15
# Ba6SrHPd

Ba6SrHPd after structural relaxation (PBE, Alexandria via LeMat-Bulk).

## Properties
SG: No. 5
Energy, eV/atom: -2.474
DOS(E_F), states/eV/f.u.: 10.80

a b c (Å): 8.2978 8.2984 7.8834
angles (deg): 90.13 89.88 59.84
With the nearest neighbours (Å) after each atom.
Positions (direct):
Ba 0.6013 0.3959 0.7305  1 H 3.11, 1 Pd 3.14
Ba 0.0039 0.3956 0.2683  1 H 3.11, 1 Pd 3.14
Ba 0.6008 0.0027 0.2694  1 H 3.10, 1 Pd 3.14
Ba 0.0027 0.6008 0.7307  1 H 3.10, 1 Pd 3.14
Ba 0.3956 0.0039 0.7317  1 H 3.11, 1 Pd 3.14
Ba 0.3958 0.6014 0.2694  1 H 3.11, 1 Pd 3.14
Sr 0.9996 0.9997 0.0000  6 Ba 3.92
H 0.3333 0.3334 0.5000  6 Ba 3.10-3.11
Pd 0.6666 0.6666 0.5000  6 Ba 3.14


Record 16
# Ba2TlH6Pd2

Ba2TlH6Pd2 after structural relaxation (PBE, Alexandria via LeMat-Bulk).

## Properties
SG: No. 166
Energy, eV/atom: -3.566
DOS(E_F), states/eV/f.u.: 1.45

a b c (Å): 5.9761 5.9761 6.6998
angles (deg): 63.51 63.51 60.00
With the nearest neighbours (Å) after each atom.
Positions (direct):
H 0.2555 0.2555 0.7339  1 Pd 1.72
H 0.2450 0.7445 0.2661  1 Pd 1.72
H 0.7550 0.2555 0.7339  1 Pd 1.72
H 0.2555 0.7550 0.7339  1 Pd 1.72
H 0.7445 0.7445 0.2661  1 Pd 1.72
H 0.7445 0.2450 0.2661  1 Pd 1.72
Ba 0.2347 0.2347 0.2960  9 H 2.99-3.05, 1 Pd 3.18
Ba 0.7653 0.7653 0.7040  9 H 2.99-3.05, 1 Pd 3.18
Pd 0.4190 0.4190 0.7431  3 H 1.72
Pd 0.5810 0.5810 0.2569  3 H 1.72
Tl 0.0000 0.0000 0.0000  6 H 2.31


Record 17
# BaTlHPd2

BaTlHPd2 after structural relaxation (PBE, Alexandria via LeMat-Bulk).

## Properties
SG: No. 123
Energy, eV/atom: -3.022
DOS(E_F), states/eV/f.u.: 1.93

a b c (Å): 5.0434 6.8273 5.0434
angles (deg): 90.00 90.00 90.00
With the nearest neighbours (Å) after each atom.
Positions (direct):
Ba 0.0000 0.5000 0.0000  2 Tl 3.41, 4 H 3.57
Pd 0.5000 0.0000 0.0000  2 Tl 2.52
Pd 0.0000 0.0000 0.5000  2 Tl 2.52
H 0.5000 0.5000 0.5000  4 Ba 3.57
Tl 0.0000 0.0000 0.0000  4 Pd 2.52


Record 18
# BaTlH8Pd2

BaTlH8Pd2 after structural relaxation (PBE, Alexandria via LeMat-Bulk).

## Properties
SG: No. 148
Energy, eV/atom: -3.372
DOS(E_F), states/eV/f.u.: 3.28

a b c (Å): 5.3352 5.3352 6.7878
angles (deg): 66.86 66.86 60.00
With the nearest neighbours (Å) after each atom.
Positions (direct):
Pd 0.7332 0.7332 0.8005  4 H 1.59-1.68
Pd 0.2668 0.2668 0.1995  4 H 1.59-1.68
H 0.9270 0.9332 0.7438  1 Pd 1.68
H 0.0730 0.0668 0.2562  1 Pd 1.68
H 0.3960 0.9270 0.7438  1 Pd 1.68
H 0.8206 0.8206 0.5381  1 Pd 1.59
H 0.6040 0.0730 0.2562  1 Pd 1.68
H 0.1794 0.1794 0.4619  1 Pd 1.59
H 0.0668 0.6040 0.2562  1 Pd 1.68
H 0.9332 0.3960 0.7438  1 Pd 1.68
Ba 0.5000 0.5000 0.5000  18 H 3.04-3.09
Tl 0.0000 0.0000 0.0000  6 H 2.11


Record 19
# BaZnH8Pd2

BaZnH8Pd2 after structural relaxation (PBE, Alexandria via LeMat-Bulk).

## Properties
SG: No. 148
Energy, eV/atom: -3.406
DOS(E_F), states/eV/f.u.: 1.47

a b c (Å): 4.8725 4.8725 6.8080
angles (deg): 69.03 69.03 60.00
With the nearest neighbours (Å) after each atom.
Positions (direct):
H 0.7524 0.0552 0.8330  1 Pd 1.72, 1 Zn 1.81
H 0.2014 0.2014 0.3957  1 Pd 1.66
H 0.0552 0.3595 0.8330  1 Pd 1.72, 1 Zn 1.81
H 0.3595 0.7524 0.8330  1 Pd 1.72, 1 Zn 1.81
H 0.6405 0.2476 0.1670  1 Pd 1.72, 1 Zn 1.81
H 0.7986 0.7986 0.6043  1 Pd 1.66
H 0.2476 0.9448 0.1670  1 Pd 1.72, 1 Zn 1.81
H 0.9448 0.6405 0.1670  1 Pd 1.72, 1 Zn 1.81
Ba 0.5000 0.5000 0.5000  12 H 2.68-2.89
Zn 0.0000 0.0000 0.0000  6 H 1.81
Pd 0.7094 0.7094 0.8716  4 H 1.66-1.72
Pd 0.2905 0.2905 0.1284  4 H 1.66-1.72


Record 20
# Ba2ZnH6Pd

Ba2ZnH6Pd after structural relaxation (PBE, Alexandria via LeMat-Bulk).

## Properties
SG: No. 69
Energy, eV/atom: -3.407
DOS(E_F), states/eV/f.u.: 1.90

a b c (Å): 5.6389 5.6391 5.7351
angles (deg): 60.63 60.64 90.14
With the nearest neighbours (Å) after each atom.
Positions (direct):
H 0.7341 0.2659 0.0000  1 Pd 1.87
H 0.7333 0.7333 0.9998  1 Pd 1.86
H 0.2659 0.7341 0.0000  1 Pd 1.87
H 0.2185 0.2185 0.5630  1 Zn 1.80
H 0.7815 0.7814 0.4370  1 Zn 1.80
H 0.2667 0.2667 0.0002  1 Pd 1.86
Zn 0.0000 0.0000 0.0000  2 H 1.80
Ba 0.2500 0.7500 0.5000  12 H 2.83-2.87
Ba 0.7500 0.2500 0.5000  12 H 2.83-2.87
Pd 0.5000 0.5000 0.0000  4 H 1.86-1.87